1.
Here is AgHg2Mo after structural relaxation from Alexandria via LeMat-Bulk. Energies are from PBE. Values from VASP.

Geometry as Quantum ESPRESSO input:
```
&SYSTEM
  ibrav = 0, nat = 4, ntyp = 3
/
ATOMIC_SPECIES
Hg 200.59 Hg.upf
Mo 95.94 Mo.upf
Ag 107.87 Ag.upf
ATOMIC_POSITIONS crystal
Hg 0.5014 0.5014 0.5014
Mo 0.2500 0.2500 0.2500
Hg 0.9986 0.9986 0.9986
Ag 0.7500 0.7500 0.7500
CELL_PARAMETERS angstrom
-0.6818 -9.8140 -0.5410
2.1074 -9.6076 0.5697
-0.2600 -9.5455 2.4265
```

excess energy over the best structure of this formula in the dataset = 20.3 meV/atom
N(E_F) = 3.14 states/eV/cell
formation enthalpy at 0 K = 9.79 kcal/mol of atoms

=====

2.
Here is AgHgMo3 after structural relaxation from Alexandria via LeMat-Bulk. Energies are from PBE. Values from VASP.

Geometry as Quantum ESPRESSO input:
```
&SYSTEM
  ibrav = 0, nat = 5, ntyp = 3
/
ATOMIC_SPECIES
Mo 95.94 Mo.upf
Ag 107.87 Ag.upf
Hg 200.59 Hg.upf
ATOMIC_POSITIONS crystal
Mo 0.0000 0.0000 0.5000
Ag 0.0000 0.0000 0.0000
Hg 0.5000 0.5000 0.5000
Mo 0.5000 0.0000 0.0000
Mo 0.0000 0.5000 0.0000
CELL_PARAMETERS angstrom
4.8096 0.0000 0.0000
0.0000 4.8096 0.0000
0.0000 0.0000 4.8096
```

excess energy over the best structure of this formula in the dataset = 0.0 meV/atom
N(E_F) = 2.95 states/eV/cell
formation enthalpy at 0 K = 53.95 kcal/mol of atoms

=====

3.
Here is AgHg2Mo after structural relaxation from Alexandria via LeMat-Bulk. Energies are from PBE. Values from VASP.

Geometry as Quantum ESPRESSO input:
```
&SYSTEM
  ibrav = 0, nat = 4, ntyp = 3
/
ATOMIC_SPECIES
Hg 200.59 Hg.upf
Ag 107.87 Ag.upf
Mo 95.94 Mo.upf
ATOMIC_POSITIONS crystal
Hg 0.5000 0.5000 0.0000
Ag 0.0000 0.5000 0.5000
Hg 0.0000 0.0000 0.0000
Mo 0.5000 0.0000 0.5000
CELL_PARAMETERS angstrom
4.3521 0.0000 0.0000
0.0000 4.3501 0.0000
0.0000 0.0000 4.0070
```

excess energy over the best structure of this formula in the dataset = 134.8 meV/atom
N(E_F) = 2.36 states/eV/cell
formation enthalpy at 0 K = 12.43 kcal/mol of atoms

=====

4.
Here is AgHg3Mo after structural relaxation from Alexandria via LeMat-Bulk. Energies are from PBE. Values from VASP.

Geometry as Quantum ESPRESSO input:
```
&SYSTEM
  ibrav = 0, nat = 5, ntyp = 3
/
ATOMIC_SPECIES
Hg 200.59 Hg.upf
Ag 107.87 Ag.upf
Mo 95.94 Mo.upf
ATOMIC_POSITIONS crystal
Hg 0.5000 0.0000 0.0000
Ag 0.5000 0.5000 0.5000
Hg 0.0000 0.0000 0.5000
Mo 0.0000 0.0000 0.0000
Hg 0.0000 0.5000 0.0000
CELL_PARAMETERS angstrom
-1.7374 -3.5004 3.7188
-1.9716 -3.1639 -3.8991
4.7112 -2.6149 -0.2603
```

excess energy over the best structure of this formula in the dataset = 0.0 meV/atom
N(E_F) = 3.51 states/eV/cell
formation enthalpy at 0 K = 22.84 kcal/mol of atoms

=====

5.
Here is AgHg2Mo after structural relaxation from Alexandria via LeMat-Bulk. Energies are from PBE. Values from VASP.

Geometry as Quantum ESPRESSO input:
```
&SYSTEM
  ibrav = 0, nat = 4, ntyp = 3
/
ATOMIC_SPECIES
Hg 200.59 Hg.upf
Ag 107.87 Ag.upf
Mo 95.94 Mo.upf
ATOMIC_POSITIONS crystal
Hg 0.0034 0.0034 0.0000
Ag 0.2631 0.7631 0.5000
Hg 0.7357 0.2357 0.5000
Mo 0.4978 0.4978 0.0000
CELL_PARAMETERS angstrom
6.1127 0.0241 0.0078
3.2582 5.1720 -0.0078
-3.9312 -3.9584 2.4986
```

excess energy over the best structure of this formula in the dataset = 137.1 meV/atom
N(E_F) = 1.74 states/eV/cell
formation enthalpy at 0 K = 12.49 kcal/mol of atoms

=====

6.
Here is AgHg2Mo after structural relaxation from Alexandria via LeMat-Bulk. Energies are from PBE. Values from VASP.

Geometry as Quantum ESPRESSO input:
```
&SYSTEM
  ibrav = 0, nat = 4, ntyp = 3
/
ATOMIC_SPECIES
Hg 200.59 Hg.upf
Ag 107.87 Ag.upf
Mo 95.94 Mo.upf
ATOMIC_POSITIONS crystal
Hg 0.0049 0.0049 0.0049
Hg 0.2429 0.2429 0.2429
Ag 0.7548 0.7548 0.7548
Mo 0.4973 0.4973 0.4973
CELL_PARAMETERS angstrom
10.4078 0.0201 0.0118
9.9800 2.9535 0.0118
9.9800 1.4556 2.5699
```

excess energy over the best structure of this formula in the dataset = 62.3 meV/atom
N(E_F) = 3.10 states/eV/cell
formation enthalpy at 0 K = 10.76 kcal/mol of atoms

=====

7.
Here is AgHg2Mo after structural relaxation from Alexandria via LeMat-Bulk. Energies are from PBE. Values from VASP.

Geometry as Quantum ESPRESSO input:
```
&SYSTEM
  ibrav = 0, nat = 4, ntyp = 3
/
ATOMIC_SPECIES
Ag 107.87 Ag.upf
Mo 95.94 Mo.upf
Hg 200.59 Hg.upf
ATOMIC_POSITIONS crystal
Ag 0.5000 0.5000 0.5000
Mo 0.0000 0.0000 0.0000
Hg 0.2500 0.2500 0.2500
Hg 0.7500 0.7500 0.7500
CELL_PARAMETERS angstrom
0.0000 3.3868 3.3868
3.3868 0.0000 3.3868
3.3868 3.3868 0.0000
```

excess energy over the best structure of this formula in the dataset = 189.9 meV/atom
N(E_F) = 1.74 states/eV/cell
formation enthalpy at 0 K = 13.70 kcal/mol of atoms

=====

8.
Here is AgHg2Mo after structural relaxation from Alexandria via LeMat-Bulk. Energies are from PBE. Values from VASP.

Geometry as Quantum ESPRESSO input:
```
&SYSTEM
  ibrav = 0, nat = 4, ntyp = 3
/
ATOMIC_SPECIES
Hg 200.59 Hg.upf
Mo 95.94 Mo.upf
Ag 107.87 Ag.upf
ATOMIC_POSITIONS crystal
Hg 0.0000 0.5069 0.4923
Mo 0.5000 0.2500 0.2500
Hg 0.0000 0.9931 0.0077
Ag 0.5000 0.7500 0.7500
CELL_PARAMETERS angstrom
-0.3412 -0.8369 -4.1172
-2.2807 -1.6931 0.5332
-6.1203 3.2234 -0.1480
```

excess energy over the best structure of this formula in the dataset = 121.7 meV/atom
N(E_F) = 2.27 states/eV/cell
formation enthalpy at 0 K = 12.13 kcal/mol of atoms